LiTbHg3Te4 | OQMD | GGA-PBE | optimized geometry; mass density = 6.209 g/cm3; energy relative to the lowest polymorph listed for this composition = 31.6 meV per atom
1.0
6.9918 0.0000 0.0000
0.0000 6.9918 0.0000
0.0000 0.0000 6.9918
Li Tb Hg Te
1 1 3 4
Cartesian
0.0000 0.0000 0.0000 Li
3.4959 3.4959 3.4959 Tb
0.0000 3.4959 3.4959 Hg
3.4959 0.0000 3.4959 Hg
3.4959 3.4959 0.0000 Hg
1.7717 1.7717 1.7717 Te
1.7717 5.2201 5.2201 Te
5.2201 1.7717 5.2201 Te
5.2201 5.2201 1.7717 Te



LiTbTlHg | OQMD | GGA-PBE | optimized geometry; energy = -2.696 eV/atom; mass density = 10.109 g/cm3
1.0
7.2117 0.0000 0.0000
0.0000 7.2117 0.0000
0.0000 0.0000 7.2117
Li Tb Tl Hg
4 4 4 4
Cartesian
0.0000 0.0000 0.0000 Li
0.0000 3.6058 3.6058 Li
3.6058 0.0000 3.6058 Li
3.6058 3.6058 0.0000 Li
0.0000 0.0000 3.6058 Tb
0.0000 3.6058 0.0000 Tb
3.6058 0.0000 0.0000 Tb
3.6058 3.6058 3.6058 Tb
1.8029 1.8029 5.4088 Tl
1.8029 5.4088 1.8029 Tl
5.4088 1.8029 1.8029 Tl
5.4088 5.4088 5.4088 Tl
1.8029 1.8029 1.8029 Hg
1.8029 5.4088 5.4088 Hg
5.4088 1.8029 5.4088 Hg
5.4088 5.4088 1.8029 Hg



LiTcHg | OQMD | GGA-PBE | optimized geometry; mass density = 8.295 g/cm3; energy relative to the lowest polymorph listed for this composition = 0.0 meV per atom
1.0
6.2544 0.0000 0.0000
0.0000 6.2544 0.0000
0.0000 0.0000 6.2544
Li Tc Hg
4 4 4
Cartesian
0.0000 0.0000 0.0000 Li
0.0000 3.1272 3.1272 Li
3.1272 0.0000 3.1272 Li
3.1272 3.1272 0.0000 Li
0.0000 0.0000 3.1272 Tc
0.0000 3.1272 0.0000 Tc
3.1272 0.0000 0.0000 Tc
3.1272 3.1272 3.1272 Tc
1.5636 1.5636 1.5636 Hg
1.5636 4.6908 4.6908 Hg
4.6908 1.5636 4.6908 Hg
4.6908 4.6908 1.5636 Hg



Li2TcHg | OQMD | GGA-PBE | optimized geometry; energy = -3.284 eV/atom; mass density = 7.892 g/cm3
1.0
6.4069 0.0000 0.0000
0.0000 6.4069 0.0000
0.0000 0.0000 6.4069
Li Tc Hg
8 4 4
Cartesian
0.0000 0.0000 0.0000 Li
0.0000 3.2034 3.2034 Li
1.6017 1.6017 1.6017 Li
1.6017 4.8051 4.8051 Li
3.2034 0.0000 3.2034 Li
3.2034 3.2034 0.0000 Li
4.8051 1.6017 4.8051 Li
4.8051 4.8051 1.6017 Li
0.0000 0.0000 3.2034 Tc
0.0000 3.2034 0.0000 Tc
3.2034 0.0000 0.0000 Tc
3.2034 3.2034 3.2034 Tc
1.6017 1.6017 4.8051 Hg
1.6017 4.8051 1.6017 Hg
4.8051 1.6017 1.6017 Hg
4.8051 4.8051 4.8051 Hg



Li2Hg2Te3 | OQMD | GGA-PBE | optimized geometry; mass density = 6.807 g/cm3; energy relative to the lowest polymorph listed for this composition = 42.1 meV per atom
1.0
3.1808 1.8365 5.5532
-3.1808 1.8365 5.5532
0.0000 -3.6729 5.5532
Li Hg Te
2 2 3
Cartesian
0.0000 0.0000 0.0000 Li
0.0000 0.0000 8.3299 Li
0.0000 0.0000 2.6604 Hg
0.0000 0.0000 13.9993 Hg
-1.5904 -0.9182 5.5532 Te
-1.5904 0.9182 11.1065 Te
0.0000 1.8365 5.5532 Te



Li2Hg2Te3 | OQMD | GGA-PBE | optimized geometry; mass density = 7.497 g/cm3; energy relative to the lowest polymorph listed for this composition = 0.0 meV per atom
1.0
-4.4541 4.4541 4.4541
4.4541 -4.4541 4.4541
4.4541 4.4541 -4.4541
Li Hg Te
4 4 6
Cartesian
3.7987 0.6554 -0.6554 Li
0.6554 0.6554 0.6554 Li
0.6554 -0.6554 3.7987 Li
-0.6554 3.7987 0.6554 Li
5.9368 -1.4827 1.4827 Hg
1.4827 5.9368 -1.4827 Hg
2.9714 2.9714 2.9714 Hg
-1.4827 1.4827 5.9368 Hg
6.6812 1.2842 0.0000 Te
3.1699 0.0000 2.2271 Te
2.2271 3.1699 0.0000 Te
0.0000 2.2271 3.1699 Te
1.2842 0.0000 6.6812 Te
0.0000 6.6812 1.2842 Te



LiYHgTe3 | OQMD | GGA-PBE | optimized geometry; mass density = 6.123 g/cm3; energy relative to the lowest polymorph listed for this composition = 0.0 meV per atom
1.0
2.1562 -7.3859 0.0000
2.1562 7.3859 0.0000
0.0000 0.0000 11.5670
Li Y Hg Te
2 2 2 6
Cartesian
2.1562 4.6648 8.6752 Li
2.1562 -4.6648 2.8917 Li
0.0000 0.0000 0.0000 Y
0.0000 0.0000 5.7835 Y
2.1562 0.3018 2.8917 Hg
2.1562 -0.3018 8.6752 Hg
2.1562 5.8522 2.8917 Te
2.1562 2.1258 0.7102 Te
2.1562 2.1258 5.0732 Te
2.1562 -2.1258 6.4937 Te
2.1562 -2.1258 10.8567 Te
2.1562 -5.8522 8.6752 Te



LiYHgTe3 | OQMD | GGA-PBE | optimized geometry; mass density = 5.957 g/cm3; energy relative to the lowest polymorph listed for this composition = 9.6 meV per atom
1.0
13.7343 0.0000 0.0000
0.0000 4.3192 0.0000
0.0000 0.0000 12.7666
Li Y Hg Te
4 4 4 12
Cartesian
1.5839 1.0798 0.1221 Li
5.2833 3.2394 6.5054 Li
8.4510 1.0798 6.2612 Li
12.1505 3.2394 12.6445 Li
0.8228 1.0798 8.6353 Y
6.0444 3.2394 2.2520 Y
7.6900 1.0798 10.5146 Y
12.9116 3.2394 4.1313 Y
3.1691 1.0798 3.6588 Hg
3.6981 3.2394 10.0421 Hg
10.0362 1.0798 2.7245 Hg
10.5653 3.2394 9.1078 Hg
0.8987 3.2394 10.9250 Te
1.0092 1.0798 5.3879 Te
3.0781 3.2394 1.7057 Te
3.7891 1.0798 8.0890 Te
5.8579 3.2394 11.7712 Te
5.9685 1.0798 4.5417 Te
7.7658 3.2394 8.2249 Te
7.8764 1.0798 0.9954 Te
9.9453 3.2394 4.6776 Te
10.6562 1.0798 11.0609 Te
12.7251 3.2394 7.3787 Te
12.8357 1.0798 1.8416 Te